Version w
A plane-wave DFT calculation with PBE was carried out for a geometry-optimized PmMgSn4 structure.

Symmetry = F-43m
N(E_F) = 2.99 states/eV/f.u.
Total magnetic moment = 0.0000 μB per atom

Cell and atoms, written as extended XYZ:
```
6
Lattice="6.181 0.000 0.000 3.090 5.353 0.000 3.090 1.784 5.047" Properties=species:S:1:pos:R:3 pbc="T T T"
Sn 6.181 1.785 3.154
Pm 0.000 0.000 0.000
Sn 6.181 3.568 0.632
Sn 7.725 4.460 3.154
Mg 3.090 1.784 1.262
Sn 4.637 4.460 3.154
```



Version x
A plane-wave DFT calculation with PBE was carried out for a geometry-optimized PmMgSn4 structure.

Symmetry = C2/m
N(E_F) = 3.34 states/eV/f.u.
Total magnetic moment = 0.0000 μB per atom

Cell and atoms, written as extended XYZ:
```
12
Lattice="5.829 0.000 0.065 0.000 5.829 0.000 -0.111 0.000 9.425" Properties=species:S:1:pos:R:3 pbc="T T T"
Sn -0.088 2.914 7.912
Sn 2.875 2.914 3.058
Sn 2.891 0.000 1.545
Sn 5.789 0.000 3.090
Sn 2.843 2.914 6.432
Sn 2.826 5.829 7.945
Sn 5.805 2.914 1.577
Sn -0.072 0.000 6.399
Mg 2.914 2.914 0.032
Mg 0.000 0.000 0.000
Pm 2.859 0.000 4.745
Pm -0.056 2.914 4.712
```



Which is the most stable structure? version x is the most stable.



Version w
A plane-wave DFT calculation with PBE was carried out for a geometry-optimized PmMgSn structure.

Symmetry = Fddd
N(E_F) = 2.29 states/eV/f.u.
Total magnetic moment = 0.0000 μB per atom

Cell and atoms, written as extended XYZ:
```
12
Lattice="8.224 -0.294 0.000 -3.393 7.497 0.000 -2.415 -3.602 5.695" Properties=species:S:1:pos:R:3 pbc="T T T"
Pm 2.056 -0.074 4.272
Sn -1.328 6.112 0.000
Sn 0.368 2.364 2.848
Mg -1.697 3.749 1.416
Pm 1.567 5.476 1.424
Pm -2.056 0.074 4.272
Sn 6.159 1.091 0.000
Mg 0.000 0.000 1.432
Mg -1.697 3.749 4.280
Pm 3.264 1.727 1.424
Sn -3.762 5.133 2.848
Mg 2.415 3.602 4.264
```



Version x
A plane-wave DFT calculation with PBE was carried out for a geometry-optimized PmMgSn structure.

Symmetry = P6_3/mmc
N(E_F) = 1.35 states/eV/f.u.
Total magnetic moment = 0.0000 μB per atom

Cell and atoms, written as extended XYZ:
```
6
Lattice="-3.668 -0.211 3.327 -1.043 -0.047 -4.845 0.407 -7.329 -0.016" Properties=species:S:1:pos:R:3 pbc="T T T"
Pm -0.521 -0.024 -2.423
Mg -3.213 -2.012 -1.823
Sn -3.009 -5.677 -1.832
Pm -0.318 -3.688 -2.431
Mg -1.091 -5.575 0.289
Sn -1.295 -1.910 0.298
```



Version y
A plane-wave DFT calculation with PBE was carried out for a geometry-optimized PmMgSn structure.

Symmetry = F-43m
N(E_F) = 1.66 states/eV/f.u.
Total magnetic moment = 0.0000 μB per atom

Cell and atoms, written as extended XYZ:
```
3
Lattice="-2.979 -2.504 -3.190 2.007 -2.517 -3.868 -0.014 -5.032 -0.006" Properties=species:S:1:pos:R:3 pbc="T T T"
Sn -0.247 -2.513 -1.766
Pm 0.000 0.000 0.000
Mg -0.493 -5.027 -3.532
```



Which is the most stable structure? version x is the most stable.



Version w
A plane-wave DFT calculation with PBE was carried out for a geometry-optimized PmMgSn structure.

Symmetry = P4/nmm
N(E_F) = 3.37 states/eV/f.u.
Total magnetic moment = 0.0000 μB per atom

Cell and atoms, written as extended XYZ:
```
6
Lattice="-3.251 0.255 -3.099 -0.893 -4.371 0.577 -5.286 1.831 5.696" Properties=species:S:1:pos:R:3 pbc="T T T"
Mg -2.643 0.915 2.848
Sn -5.586 1.499 2.718
Sn -1.772 -1.726 1.717
Pm -2.428 0.405 -0.685
Mg -4.715 -1.143 1.587
Pm -4.930 -0.633 5.120
```



Version x
A plane-wave DFT calculation with PBE was carried out for a geometry-optimized PmMgSn structure.

Symmetry = P-6m2
N(E_F) = 1.14 states/eV/f.u.
Total magnetic moment = 0.0000 μB per atom

Cell and atoms, written as extended XYZ:
```
3
Lattice="3.684 0.000 0.000 0.000 4.961 0.000 0.000 -2.481 4.297" Properties=species:S:1:pos:R:3 pbc="T T T"
Pm 2.455 0.000 2.864
Mg 0.612 2.481 1.432
Sn 0.616 0.000 0.000
```



Version y
A plane-wave DFT calculation with PBE was carried out for a geometry-optimized PmMgSn structure.

Symmetry = I4mm
N(E_F) = 2.03 states/eV/f.u.
Total magnetic moment = 0.0000 μB per atom

Cell and atoms, written as extended XYZ:
```
3
Lattice="-0.895 -2.102 -2.756 3.086 -1.780 0.355 -3.863 -2.068 5.158" Properties=species:S:1:pos:R:3 pbc="T T T"
Mg 0.535 -2.753 -0.400
Pm -1.583 -2.293 2.263
Sn -1.467 -5.652 2.462
```



Which is the most stable structure? version w is the most stable.



Version w
A plane-wave DFT calculation with PBE was carried out for a geometry-optimized Pm2MgSn structure.

Symmetry = Fm-3m
N(E_F) = 3.49 states/eV/f.u.
Total magnetic moment = 0.0000 μB per atom

Cell and atoms, written as extended XYZ:
```
4
Lattice="-2.010 -1.072 4.916 -1.414 -5.065 1.303 2.948 -2.799 3.581" Properties=species:S:1:pos:R:3 pbc="T T T"
Mg 0.000 0.000 0.000
Pm -0.357 -6.702 7.350
Sn -0.238 -4.468 4.900
Pm -0.119 -2.234 2.450
```



Version x
A plane-wave DFT calculation with PBE was carried out for a geometry-optimized Pm2MgSn structure.

Symmetry = P4/mmm
N(E_F) = 2.29 states/eV/f.u.
Total magnetic moment = 0.0000 μB per atom

Cell and atoms, written as extended XYZ:
```
4
Lattice="3.946 0.000 0.000 0.000 3.946 0.000 0.000 0.000 7.326" Properties=species:S:1:pos:R:3 pbc="T T T"
Mg 1.973 1.973 3.663
Sn 1.973 1.973 0.000
Pm 0.000 0.000 5.499
Pm 0.000 0.000 1.828
```



Version y
A plane-wave DFT calculation with PBE was carried out for a geometry-optimized Pm2MgSn structure.

Symmetry = P4/mmm
N(E_F) = 2.30 states/eV/f.u.
Total magnetic moment = 0.0000 μB per atom

Cell and atoms, written as extended XYZ:
```
4
Lattice="-1.520 -3.582 2.185 -0.668 -2.376 -4.360 4.662 -1.812 0.274" Properties=species:S:1:pos:R:3 pbc="T T T"
Pm -0.334 -1.188 -2.180
Pm 2.331 -0.906 0.137
Mg 1.237 -3.885 -0.951
Sn -0.760 -1.791 1.092
```



Which is the most stable structure? version y is the most stable.



Version w
A plane-wave DFT calculation with PBE was carried out for a geometry-optimized PmMgSn3 structure.

Symmetry = Pbcm
N(E_F) = 1.64 states/eV/f.u.
Total magnetic moment = 0.0000 μB per atom

Cell and atoms, written as extended XYZ:
```
20
Lattice="-3.688 5.062 0.337 -2.872 -2.431 5.122 8.886 5.955 7.809" Properties=species:S:1:pos:R:3 pbc="T T T"
Sn 3.523 4.245 3.990
Mg -1.367 0.714 3.515
Mg 5.130 9.088 7.191
Sn 5.777 3.783 7.005
Pm 2.039 1.262 3.713
Sn -0.207 3.540 3.535
Mg 0.068 1.929 0.954
Sn -4.007 2.203 4.714
Pm 0.288 7.325 9.554
Sn 6.334 6.383 8.553
Sn 0.239 5.557 6.715
Sn 2.088 3.029 6.551
Mg 3.694 7.873 9.751
Sn 2.534 5.047 9.732
Sn -2.946 3.932 2.188
Pm -1.220 2.548 6.440
Sn 5.272 4.655 11.079
Sn 1.675 6.773 4.155
Sn -3.450 4.803 6.262
Pm 3.546 6.039 6.827
```



Version x
A plane-wave DFT calculation with PBE was carried out for a geometry-optimized PmMgSn3 structure.

Symmetry = Pmmn
N(E_F) = 2.17 states/eV/f.u.
Total magnetic moment = 0.0000 μB per atom

Cell and atoms, written as extended XYZ:
```
10
Lattice="5.004 0.000 0.000 0.000 6.420 0.000 0.000 0.000 9.011" Properties=species:S:1:pos:R:3 pbc="T T T"
Pm 0.000 3.210 8.306
Mg 2.502 3.210 4.200
Sn 2.502 4.880 6.606
Sn 0.000 1.670 2.405
Sn 2.502 3.210 1.321
Sn 2.502 1.540 6.606
Sn 0.000 4.750 2.405
Sn 0.000 0.000 7.690
Mg 0.000 0.000 4.811
Pm 2.502 0.000 0.705
```



Which is the most stable structure? version w is the most stable.



Version w
A plane-wave DFT calculation with PBE was carried out for a geometry-optimized PmMg6Sn6 structure.

Symmetry = Immm
N(E_F) = 4.73 states/eV/f.u.
Total magnetic moment = 0.0000 μB per atom

Cell and atoms, written as extended XYZ:
```
13
Lattice="5.810 0.000 2.537 2.528 7.121 2.132 0.031 0.055 7.852" Properties=species:S:1:pos:R:3 pbc="T T T"
Sn 5.931 6.145 10.182
Sn 1.665 4.680 4.108
Sn 3.553 4.983 7.708
Mg 4.169 3.561 2.335
Mg 0.015 0.028 3.926
Sn 2.438 1.032 2.339
Pm 0.000 0.000 0.000
Mg 4.733 5.141 5.004
Mg 1.264 3.561 1.066
Sn 0.893 2.496 5.876
Mg 2.920 0.028 5.194
Mg 3.635 2.035 7.518
Sn 4.816 2.194 4.814
```



Version x
A plane-wave DFT calculation with PBE was carried out for a geometry-optimized PmMg6Sn6 structure.

Symmetry = P6/mmm
N(E_F) = 9.36 states/eV/f.u.
Total magnetic moment = 0.0000 μB per atom

Cell and atoms, written as extended XYZ:
```
13
Lattice="6.260 -0.001 0.000 -3.130 5.421 0.000 0.000 0.000 9.424" Properties=species:S:1:pos:R:3 pbc="T T T"
Sn 0.000 0.000 3.226
Mg -1.565 2.711 7.120
Sn 3.130 1.807 0.000
Mg -1.565 2.711 2.303
Sn 3.130 1.806 4.712
Sn 0.000 3.614 0.000
Sn 0.000 3.614 4.712
Sn 0.000 0.000 6.198
Pm 0.000 0.000 0.000
Mg 3.130 0.000 2.303
Mg 1.565 2.710 7.120
Mg 3.130 0.000 7.120
Mg 1.565 2.710 2.303
```



Which is the most stable structure? version w is the most stable.



Version w
A plane-wave DFT calculation with PBE was carried out for a geometry-optimized Pm3Mg2Sn3 structure.

Symmetry = Immm
N(E_F) = 5.96 states/eV/f.u.
Total magnetic moment = 0.0920 μB per atom

Cell and atoms, written as extended XYZ:
```
8
Lattice="-0.433 -2.414 -3.608 0.182 -3.961 2.628 -10.327 3.430 1.581" Properties=species:S:1:pos:R:3 pbc="T T T"
Pm -7.848 0.182 0.819
Mg -5.450 -1.085 -1.258
Sn -3.125 0.073 0.326
Mg -5.128 -1.859 1.859
Sn -7.453 -3.017 0.275
Sn 0.091 -1.980 1.314
Pm -0.216 -1.207 -1.804
Pm -2.730 -3.127 -0.218
```



Version x
A plane-wave DFT calculation with PBE was carried out for a geometry-optimized Pm3Mg2Sn3 structure.

Symmetry = P6_3/mcm
N(E_F) = 4.26 states/eV/f.u.
Total magnetic moment = 0.0002 μB per atom

Cell and atoms, written as extended XYZ:
```
16
Lattice="6.407 0.000 0.000 0.000 7.823 -4.517 0.000 0.000 9.033" Properties=species:S:1:pos:R:3 pbc="T T T"
Pm 1.602 0.000 6.621
Mg 3.203 2.608 4.517
Sn 4.805 4.813 -2.779
Pm 4.805 2.089 -1.206
Pm 1.602 2.089 1.206
Sn 1.602 3.010 -1.738
Pm 4.805 5.734 3.311
Sn 1.602 4.813 2.779
Mg 3.203 5.215 0.000
Mg 0.000 2.608 4.517
Sn 4.805 3.010 1.738
Sn 1.602 0.000 3.476
Sn 4.805 0.000 5.557
Pm 1.602 5.734 -3.311
Pm 4.805 0.000 2.412
Mg 0.000 5.215 0.000
```



Which is the most stable structure? version x is the most stable.



Version w
A plane-wave DFT calculation with PBE was carried out for a geometry-optimized SrPmMg structure.

Symmetry = I4mm
N(E_F) = 3.89 states/eV/f.u.
Total magnetic moment = 0.0008 μB per atom

Cell and atoms, written as extended XYZ:
```
3
Lattice="-3.226 -1.679 -1.477 2.154 -1.637 -2.845 1.607 -3.955 6.201" Properties=species:S:1:pos:R:3 pbc="T T T"
Mg -0.156 -3.653 -0.725
Pm 0.659 -3.453 2.486
Sr 0.031 -0.164 0.118
```



Version x
A plane-wave DFT calculation with PBE was carried out for a geometry-optimized SrPmMg structure.

Symmetry = P4/nmm
N(E_F) = 4.32 states/eV/f.u.
Total magnetic moment = 0.0001 μB per atom

Cell and atoms, written as extended XYZ:
```
6
Lattice="-3.519 0.970 3.550 3.359 -1.161 3.646 2.633 8.511 0.284" Properties=species:S:1:pos:R:3 pbc="T T T"
Sr 3.907 6.621 2.063
Pm 1.237 4.160 3.740
Mg 0.198 6.813 1.986
Sr -1.354 1.795 1.819
Pm 1.317 4.256 0.142
Mg 2.355 1.603 1.896
```



Version y
A plane-wave DFT calculation with PBE was carried out for a geometry-optimized SrPmMg structure.

Symmetry = P3m1
N(E_F) = 3.94 states/eV/f.u.
Total magnetic moment = 0.0000 μB per atom

Cell and atoms, written as extended XYZ:
```
3
Lattice="-2.520 0.696 2.460 -3.152 -4.465 -1.966 3.896 -0.833 4.227" Properties=species:S:1:pos:R:3 pbc="T T T"
Pm -0.073 0.020 0.071
Mg 0.701 -1.811 2.988
Sr -2.405 -2.812 1.662
```



Which is the most stable structure? version w is the most stable.



Version w
A plane-wave DFT calculation with PBE was carried out for a geometry-optimized TbPm4Mg structure.

Symmetry = P4/mmm
N(E_F) = 7.29 states/eV/f.u.
Total magnetic moment = 0.0000 μB per atom

Cell and atoms, written as extended XYZ:
```
6
Lattice="3.652 0.000 0.000 0.000 3.652 0.000 0.000 0.000 14.502" Properties=species:S:1:pos:R:3 pbc="T T T"
Pm 0.000 0.000 9.446
Pm 1.826 1.826 2.529
Mg 1.826 1.826 7.251
Tb 0.000 0.000 0.000
Pm 1.826 1.826 11.973
Pm 0.000 0.000 5.056
```



Version x
A plane-wave DFT calculation with PBE was carried out for a geometry-optimized TbPm4Mg structure.

Symmetry = Pm
N(E_F) = 9.95 states/eV/f.u.
Total magnetic moment = 0.0000 μB per atom

Cell and atoms, written as extended XYZ:
```
6
Lattice="5.692 0.049 -0.116 -0.025 6.106 1.348 0.105 1.865 5.963" Properties=species:S:1:pos:R:3 pbc="T T T"
Pm 0.097 3.212 5.790
Pm 0.018 4.009 2.268
Tb 2.933 5.334 6.114
Pm 2.857 6.113 2.734
Mg 0.048 6.653 4.717
Pm 2.908 2.532 3.699
```



Which is the most stable structure? version w is the most stable.



Version w
A plane-wave DFT calculation with PBE was carried out for a geometry-optimized TbPm2Mg2 structure.

Symmetry = Immm
N(E_F) = 7.04 states/eV/f.u.
Total magnetic moment = 0.0000 μB per atom

Cell and atoms, written as extended XYZ:
```
5
Lattice="5.255 0.000 0.000 2.628 5.405 -0.327 2.628 1.133 5.295" Properties=species:S:1:pos:R:3 pbc="T T T"
Tb 0.000 0.000 0.000
Pm 2.628 1.995 1.516
Pm 7.883 4.544 3.453
Mg 5.255 4.156 1.318
Mg 5.255 2.383 3.651
```



Version x
A plane-wave DFT calculation with PBE was carried out for a geometry-optimized TbPm2Mg2 structure.

Symmetry = Cmcm
N(E_F) = 5.46 states/eV/f.u.
Total magnetic moment = 0.0000 μB per atom

Cell and atoms, written as extended XYZ:
```
10
Lattice="-0.159 -2.406 -2.962 5.210 -1.469 0.914 -4.325 -9.072 10.075" Properties=species:S:1:pos:R:3 pbc="T T T"
Pm 1.821 -5.969 4.761
Mg -1.869 -7.767 6.415
Mg 2.596 -5.180 1.613
Mg 0.748 -2.676 -0.322
Pm -1.094 -6.978 3.266
Pm -2.788 -10.927 6.574
Tb 0.743 -9.502 5.225
Mg -0.022 -10.270 8.350
Pm 3.514 -2.020 1.454
Tb -0.016 -3.444 2.802
```



Which is the most stable structure? version x is the most stable.